P.
Material: GaBiW3
Method: DFT, PBE-GGA
State: optimized geometry

Geometry as extended XYZ:
```
5
Lattice="4.696 0.000 0.000 0.000 4.696 0.000 0.000 0.000 4.696" Properties=species:S:1:pos:R:3 pbc="T T T"
Ga 0.000 0.000 0.000
Bi 2.348 2.348 2.348
W 0.000 0.000 2.348
W 0.000 2.348 0.000
W 2.348 0.000 0.000
```

Properties
N(E_F): 6.30 states/eV per cell


Q.
Material: GaBiW3
Method: DFT, PBE-GGA
State: optimized geometry

Geometry as extended XYZ:
```
5
Lattice="5.027 0.000 0.000 0.000 5.027 0.000 0.000 0.000 5.027" Properties=species:S:1:pos:R:3 pbc="T T T"
Ga 0.000 0.000 0.000
Bi 2.513 2.513 2.513
W 0.000 2.513 2.513
W 2.513 0.000 2.513
W 2.513 2.513 0.000
```

Properties
N(E_F): 4.90 states/eV per cell


It is Q that is the least stable of them.


P.
Material: Y5GaBi2
Method: DFT, PBE-GGA
State: optimized geometry

Geometry as extended XYZ:
```
16
Lattice="3.026 -6.095 0.000 3.026 6.095 0.000 0.000 0.000 14.276" Properties=species:S:1:pos:R:3 pbc="T T T"
Y 3.026 5.246 8.742
Y 3.026 5.246 12.673
Y 3.026 1.855 3.569
Y 3.026 1.498 8.179
Y 3.026 1.498 13.235
Y 3.026 -1.498 1.041
Y 3.026 -1.498 6.097
Y 3.026 -1.855 10.707
Y 3.026 -5.246 1.603
Y 3.026 -5.246 5.535
Ga 3.026 3.128 10.707
Ga 3.026 -3.128 3.569
Bi 3.026 3.812 1.218
Bi 3.026 3.812 5.921
Bi 3.026 -3.812 8.356
Bi 3.026 -3.812 13.059
```

Properties
N(E_F): 18.07 states/eV per cell


Q.
Material: Y5GaBi2
Method: DFT, PBE-GGA
State: optimized geometry

Geometry as extended XYZ:
```
16
Lattice="8.228 0.000 0.000 0.000 12.224 0.000 0.000 0.000 4.615" Properties=species:S:1:pos:R:3 pbc="T T T"
Y 0.000 0.000 0.000
Y 1.232 3.544 0.000
Y 1.571 6.883 2.308
Y 2.544 0.771 2.308
Y 2.882 9.656 0.000
Y 4.114 6.112 0.000
Y 5.346 2.569 0.000
Y 5.685 11.453 2.308
Y 6.658 5.341 2.308
Y 6.996 8.681 0.000
Ga 0.000 6.112 0.000
Ga 4.114 0.000 0.000
Bi 0.612 10.096 2.308
Bi 3.502 3.984 2.308
Bi 4.726 8.240 2.308
Bi 7.617 2.128 2.308
```

Properties
N(E_F): 19.87 states/eV per cell


It is P that is the least stable of them.


P.
Material: Y2Ga2Bi
Method: DFT, PBE-GGA
State: optimized geometry

Geometry as extended XYZ:
```
10
Lattice="8.486 0.000 0.000 0.000 8.486 0.000 0.000 0.000 3.613" Properties=species:S:1:pos:R:3 pbc="T T T"
Y 1.181 3.062 0.000
Y 3.062 7.305 0.000
Y 5.424 1.181 0.000
Y 7.305 5.424 0.000
Ga 1.435 5.678 1.806
Ga 2.808 1.435 1.806
Ga 5.678 7.051 1.806
Ga 7.051 2.808 1.806
Bi 0.000 0.000 0.000
Bi 4.243 4.243 0.000
```

Properties
N(E_F): 8.55 states/eV per cell


Q.
Material: Y2Ga2Bi
Method: DFT, PBE-GGA
State: optimized geometry

Geometry as extended XYZ:
```
10
Lattice="7.597 0.000 0.000 0.000 7.597 0.000 0.000 0.000 4.270" Properties=species:S:1:pos:R:3 pbc="T T T"
Y 1.324 2.475 0.000
Y 2.475 6.273 0.000
Y 5.122 1.324 0.000
Y 6.273 5.122 0.000
Ga 0.899 4.697 2.135
Ga 2.900 0.899 2.135
Ga 4.697 6.698 2.135
Ga 6.698 2.900 2.135
Bi 0.000 0.000 2.135
Bi 3.798 3.798 2.135
```

Properties
N(E_F): 8.78 states/eV per cell


It is P that is the least stable of them.


P.
Material: YGaBi3
Method: DFT, PBE-GGA
State: optimized geometry

Geometry as extended XYZ:
```
5
Lattice="5.469 0.000 0.000 0.000 5.469 0.000 0.000 0.000 5.469" Properties=species:S:1:pos:R:3 pbc="T T T"
Y 0.000 0.000 0.000
Ga 2.735 2.735 2.735
Bi 0.000 2.735 2.735
Bi 2.735 0.000 2.735
Bi 2.735 2.735 0.000
```

Properties
N(E_F): 4.57 states/eV per cell


Q.
Material: YGaBi3
Method: DFT, PBE-GGA
State: optimized geometry

Geometry as extended XYZ:
```
5
Lattice="5.904 0.000 0.000 0.000 5.904 0.000 0.000 0.000 5.904" Properties=species:S:1:pos:R:3 pbc="T T T"
Y 0.000 0.000 0.000
Ga 2.952 2.952 2.952
Bi 0.000 0.000 2.952
Bi 0.000 2.952 0.000
Bi 2.952 0.000 0.000
```

Properties
N(E_F): 4.25 states/eV per cell


It is Q that is the least stable of them.


P.
Material: Y2GaBi
Method: DFT, PBE-GGA
State: optimized geometry

Geometry as extended XYZ:
```
4
Lattice="2.113 1.220 7.496 -2.113 1.220 7.496 0.000 -2.440 7.496" Properties=species:S:1:pos:R:3 pbc="T T T"
Y 0.000 0.000 5.569
Y 0.000 0.000 16.919
Ga 0.000 0.000 11.244
Bi 0.000 0.000 0.000
```

Properties
N(E_F): 3.26 states/eV per cell


Q.
Material: Y2GaBi
Method: DFT, PBE-GGA
State: optimized geometry

Geometry as extended XYZ:
```
8
Lattice="-4.053 4.053 3.474 4.053 -4.053 3.474 4.053 4.053 -3.474" Properties=species:S:1:pos:R:3 pbc="T T T"
Y 2.027 1.878 -0.869
Y 2.175 -2.027 4.343
Y 2.027 2.175 2.606
Y 1.878 6.080 0.869
Ga 0.000 0.000 0.000
Ga 0.000 4.053 1.737
Bi 4.053 0.000 1.737
Bi 0.000 0.000 3.474
```

Properties
N(E_F): 4.19 states/eV per cell


R.
Material: Y2GaBi
Method: DFT, PBE-GGA
State: optimized geometry

Geometry as extended XYZ:
```
4
Lattice="0.000 3.772 3.772 3.772 0.000 3.772 3.772 3.772 0.000" Properties=species:S:1:pos:R:3 pbc="T T T"
Y 1.886 1.886 1.886
Y 5.658 5.658 5.658
Ga 0.000 0.000 0.000
Bi 3.772 3.772 3.772
```

Properties
N(E_F): 5.32 states/eV per cell


It is Q that is the least stable of them.


P.
Material: ZnGa2Bi
Method: DFT, PBE-GGA
State: optimized geometry

Geometry as extended XYZ:
```
4
Lattice="3.491 0.000 0.000 0.000 3.491 0.000 0.000 0.000 7.190" Properties=species:S:1:pos:R:3 pbc="T T T"
Zn 0.000 0.000 0.000
Ga 1.745 1.745 1.459
Ga 1.745 1.745 5.732
Bi 0.000 0.000 3.595
```

Properties
N(E_F): 1.75 states/eV per cell


Q.
Material: ZnGa2Bi
Method: DFT, PBE-GGA
State: optimized geometry

Geometry as extended XYZ:
```
4
Lattice="4.521 0.000 0.000 0.000 4.521 0.000 0.000 0.000 4.377" Properties=species:S:1:pos:R:3 pbc="T T T"
Zn 0.000 0.000 0.000
Ga 0.000 2.260 2.188
Ga 2.260 0.000 2.188
Bi 2.260 2.260 0.000
```

Properties
N(E_F): 1.29 states/eV per cell


It is Q that is the least stable of them.


P.
Material: ZnGa2Bi
Method: DFT, PBE-GGA
State: optimized geometry

Geometry as extended XYZ:
```
4
Lattice="0.000 3.592 3.592 3.592 0.000 3.592 3.592 3.592 0.000" Properties=species:S:1:pos:R:3 pbc="T T T"
Zn 0.000 0.000 0.000
Ga 1.796 1.796 1.796
Ga 5.388 5.388 5.388
Bi 3.592 3.592 3.592
```

Properties
N(E_F): 1.55 states/eV per cell


Q.
Material: ZnGa2Bi
Method: DFT, PBE-GGA
State: optimized geometry

Geometry as extended XYZ:
```
8
Lattice="-3.241 3.241 5.509 3.241 -3.241 5.509 3.241 3.241 -5.509" Properties=species:S:1:pos:R:3 pbc="T T T"
Zn 0.000 0.000 0.000
Zn 0.000 3.241 2.755
Ga 4.862 1.406 -1.377
Ga 1.406 1.621 1.377
Ga -1.621 1.836 4.132
Ga 1.836 1.621 6.887
Bi 3.241 0.000 2.755
Bi 0.000 0.000 5.509
```

Properties
N(E_F): 3.90 states/eV per cell


It is Q that is the least stable of them.


P.
Material: ZnGa3Bi
Method: DFT, PBE-GGA
State: optimized geometry

Geometry as extended XYZ:
```
5
Lattice="4.925 0.000 0.000 0.000 4.925 0.000 0.000 0.000 4.925" Properties=species:S:1:pos:R:3 pbc="T T T"
Zn 0.000 0.000 0.000
Ga 0.000 0.000 2.463
Ga 0.000 2.463 0.000
Ga 2.463 0.000 0.000
Bi 2.463 2.463 2.463
```

Properties
N(E_F): 0.99 states/eV per cell


Q.
Material: ZnGa3Bi
Method: DFT, PBE-GGA
State: optimized geometry

Geometry as extended XYZ:
```
5
Lattice="5.619 0.000 0.000 0.000 5.619 0.000 0.000 0.000 5.619" Properties=species:S:1:pos:R:3 pbc="T T T"
Zn 0.000 0.000 0.000
Ga 0.000 2.810 2.810
Ga 2.810 0.000 2.810
Ga 2.810 2.810 0.000
Bi 2.810 2.810 2.810
```

Properties
N(E_F): 3.79 states/eV per cell


It is Q that is the least stable of them.


P.
Material: ZnGa2Bi2
Method: DFT, PBE-GGA
State: optimized geometry

Geometry as extended XYZ:
```
5
Lattice="-2.571 2.571 5.287 2.571 -2.571 5.287 2.571 2.571 -5.287" Properties=species:S:1:pos:R:3 pbc="T T T"
Zn 0.000 0.000 0.000
Ga 0.000 0.000 4.061
Ga 0.000 0.000 6.514
Bi 2.571 0.000 2.644
Bi 0.000 2.571 2.644
```

Properties
N(E_F): 2.71 states/eV per cell


Q.
Material: ZnGa2Bi2
Method: DFT, PBE-GGA
State: optimized geometry

Geometry as extended XYZ:
```
10
Lattice="8.069 0.000 0.000 0.000 8.069 0.000 0.000 0.000 4.025" Properties=species:S:1:pos:R:3 pbc="T T T"
Zn 0.000 0.000 0.000
Zn 4.035 4.035 0.000
Ga 1.008 3.027 2.012
Ga 3.027 7.061 2.012
Ga 5.043 1.008 2.012
Ga 7.061 5.043 2.012
Bi 1.390 5.425 0.000
Bi 2.645 1.390 0.000
Bi 5.425 6.679 0.000
Bi 6.679 2.645 0.000
```

Properties
N(E_F): 6.58 states/eV per cell


It is P that is the least stable of them.


P.
Material: Zr2GaBi
Method: DFT, PBE-GGA
State: optimized geometry

Geometry as extended XYZ:
```
4
Lattice="1.968 1.136 7.064 -1.968 1.136 7.064 0.000 -2.272 7.064" Properties=species:S:1:pos:R:3 pbc="T T T"
Zr 0.000 0.000 5.075
Zr 0.000 0.000 16.116
Ga 0.000 0.000 10.596
Bi 0.000 0.000 0.000
```

Properties
N(E_F): 1.26 states/eV per cell


Q.
Material: Zr2GaBi
Method: DFT, PBE-GGA
State: optimized geometry

Geometry as extended XYZ:
```
8
Lattice="-3.056 3.056 6.963 3.056 -3.056 6.963 3.056 3.056 -6.963" Properties=species:S:1:pos:R:3 pbc="T T T"
Zr 4.584 1.246 -1.741
Zr 1.246 1.528 1.741
Zr -1.528 1.811 5.222
Zr 1.811 1.528 8.704
Ga 0.000 0.000 0.000
Ga 0.000 3.056 3.481
Bi 3.056 0.000 3.481
Bi 0.000 0.000 6.963
```

Properties
N(E_F): 3.12 states/eV per cell


R.
Material: Zr2GaBi
Method: DFT, PBE-GGA
State: optimized geometry

Geometry as extended XYZ:
```
4
Lattice="0.000 3.539 3.539 3.539 0.000 3.539 3.539 3.539 0.000" Properties=species:S:1:pos:R:3 pbc="T T T"
Zr 1.769 1.769 1.769
Zr 5.308 5.308 5.308
Ga 0.000 0.000 0.000
Bi 3.539 3.539 3.539
```

Properties
N(E_F): 3.93 states/eV per cell


It is Q that is the least stable of them.


P.
Material: GdGe2Bi
Method: DFT, PBE-GGA
State: optimized geometry

Geometry as extended XYZ:
```
4
Lattice="2.429 1.403 7.075 -2.429 1.403 7.075 0.000 -2.805 7.075" Properties=species:S:1:pos:R:3 pbc="T T T"
Gd 0.000 0.000 0.000
Ge 0.000 0.000 7.936
Ge 0.000 0.000 13.288
Bi 0.000 0.000 10.612
```

Properties
N(E_F): 2.24 states/eV per cell


Q.
Material: GdGe2Bi
Method: DFT, PBE-GGA
State: optimized geometry

Geometry as extended XYZ:
```
4
Lattice="4.723 0.000 0.000 0.000 4.723 0.000 0.000 0.000 4.286" Properties=species:S:1:pos:R:3 pbc="T T T"
Gd 0.000 0.000 0.000
Ge 0.000 2.361 2.143
Ge 2.361 0.000 2.143
Bi 2.361 2.361 0.000
```

Properties
N(E_F): 2.25 states/eV per cell


It is P that is the least stable of them.


P.
Material: GdGeBi2
Method: DFT, PBE-GGA
State: optimized geometry

Geometry as extended XYZ:
```
4
Lattice="4.791 0.000 0.000 0.000 4.791 0.000 0.000 0.000 4.771" Properties=species:S:1:pos:R:3 pbc="T T T"
Gd 0.000 0.000 0.000
Ge 2.395 2.395 0.000
Bi 0.000 2.395 2.385
Bi 2.395 0.000 2.385
```

Properties
N(E_F): 2.66 states/eV per cell


Q.
Material: GdGeBi2
Method: DFT, PBE-GGA
State: optimized geometry

Geometry as extended XYZ:
```
4
Lattice="1.907 1.101 10.225 -1.907 1.101 10.225 0.000 -2.202 10.225" Properties=species:S:1:pos:R:3 pbc="T T T"
Gd 0.000 0.000 0.000
Ge 0.000 0.000 15.337
Bi 0.000 0.000 3.168
Bi 0.000 0.000 27.507
```

Properties
N(E_F): 5.57 states/eV per cell


It is Q that is the least stable of them.